Zr2InAs2 PBE optimized geometry; magnetic moment = 0.000 μB per atom; distance to the lowest polymorph of the same formula = 15.3 meV/atom
1.0
7.664 0.000 0.000
0.000 7.664 0.000
0.000 0.000 3.525
Zr In As
4 2 4
Direct
0.149 0.351 0.000
0.351 0.851 0.000
0.649 0.149 0.000
0.851 0.649 0.000
0.000 0.000 0.500
0.500 0.500 0.500
0.141 0.641 0.500
0.359 0.141 0.500
0.641 0.859 0.500
0.859 0.359 0.500


Zr2InAs PBE optimized geometry; magnetic moment = 0.000 μB per atom
1.0
-2.072 2.072 4.872
2.072 -2.072 4.872
2.072 2.072 -4.872
Zr In As
2 1 1
Direct
0.000 0.000 0.000
0.750 0.250 0.500
0.500 0.500 0.000
0.250 0.750 0.500


Zr2InAs2 PBE optimized geometry; magnetic moment = 0.000 μB per atom; distance to the lowest polymorph of the same formula = 0.0 meV/atom
1.0
7.664 0.000 0.000
0.000 7.664 0.000
0.000 0.000 3.575
Zr In As
4 2 4
Direct
0.147 0.353 0.000
0.353 0.853 0.000
0.647 0.147 0.000
0.853 0.647 0.000
0.000 0.000 0.000
0.500 0.500 0.000
0.147 0.647 0.500
0.353 0.147 0.500
0.647 0.853 0.500
0.853 0.353 0.500


Zr2InAs PBE optimized geometry; magnetic moment = 0.455 μB per atom
1.0
0.000 3.532 3.532
3.532 0.000 3.532
3.532 3.532 0.000
Zr In As
2 1 1
Direct
0.000 0.000 0.000
0.250 0.250 0.250
0.500 0.500 0.500
0.750 0.750 0.750


Zr2InAs PBE optimized geometry; magnetic moment = 0.000 μB per atom
1.0
-2.992 2.992 6.913
2.992 -2.992 6.913
2.992 2.992 -6.913
Zr In As
4 2 2
Direct
0.089 0.625 0.964
0.375 0.339 0.464
0.661 0.125 0.036
0.875 0.911 0.536
0.250 0.750 0.500
0.500 0.500 0.000
0.000 0.000 0.000
0.750 0.250 0.500


ZrInAs3 PBE optimized geometry; magnetic moment = 0.000 μB per atom; distance to the lowest polymorph of the same formula = 762.1 meV/atom
1.0
5.080 0.000 0.000
0.000 5.080 0.000
0.000 0.000 5.080
Zr In As
1 1 3
Direct
0.000 0.000 0.000
0.500 0.500 0.500
0.000 0.500 0.500
0.500 0.000 0.500
0.500 0.500 0.000


Zr4InAs PBE optimized geometry; magnetic moment = 0.000 μB per atom
1.0
0.000 4.087 4.087
4.087 0.000 4.087
4.087 4.087 0.000
Zr In As
4 1 1
Direct
0.376 0.376 0.376
0.376 0.376 0.872
0.376 0.872 0.376
0.872 0.376 0.376
0.750 0.750 0.750
0.000 0.000 0.000


ZrIn2As PBE optimized geometry; magnetic moment = 0.000 μB per atom
1.0
3.725 0.000 0.000
0.000 3.725 0.000
0.000 0.000 6.701
Zr In As
1 2 1
Direct
0.000 0.000 0.000
0.000 0.000 0.459
0.500 0.500 0.704
0.500 0.500 0.126


ZrIn2As PBE optimized geometry; magnetic moment = 0.000 μB per atom
1.0
-2.041 2.041 5.252
2.041 -2.041 5.252
2.041 2.041 -5.252
Zr In As
1 2 1
Direct
0.000 0.000 0.000
0.250 0.750 0.500
0.750 0.250 0.500
0.500 0.500 0.000


ZrIn2As PBE optimized geometry; magnetic moment = 0.000 μB per atom
1.0
-4.053 4.053 2.870
4.053 -4.053 2.870
4.053 4.053 -2.870
Zr In As
2 4 2
Direct
0.000 0.000 0.000
0.750 0.250 0.500
0.148 0.625 0.023
0.375 0.398 0.523
0.602 0.125 0.977
0.875 0.852 0.477
0.250 0.750 0.500
0.500 0.500 0.000


ZrIn2As PBE optimized geometry; magnetic moment = 0.000 μB per atom
1.0
1.707 0.985 9.115
-1.707 0.985 9.115
0.000 -1.971 9.115
Zr In As
1 2 1
Direct
0.000 0.000 0.000
0.244 0.244 0.244
0.756 0.756 0.756
0.500 0.500 0.500


Zr2InAs PBE optimized geometry; magnetic moment = 0.000 μB per atom
1.0
4.010 0.000 0.000
0.000 4.010 0.000
0.000 0.000 5.647
Zr In As
2 1 1
Direct
0.000 0.000 0.000
0.500 0.500 0.500
0.000 0.000 0.500
0.500 0.500 0.000


Zr2InAs PBE optimized geometry; magnetic moment = 0.000 μB per atom
1.0
4.921 -1.957 0.000
4.921 1.957 0.000
-2.690 0.000 4.402
Zr In As
2 1 1
Direct
0.227 0.227 0.227
0.773 0.773 0.773
0.000 0.000 0.500
0.500 0.500 0.000


ZrIn2As PBE optimized geometry; magnetic moment = 0.000 μB per atom
1.0
4.147 0.000 0.000
0.000 4.147 0.000
0.000 0.000 5.062
Zr In As
1 2 1
Direct
0.000 0.000 0.000
0.000 0.500 0.500
0.500 0.000 0.500
0.500 0.500 0.000


As3Ir2 PBE optimized geometry; magnetic moment = 0.000 μB per atom
1.0
1.786 1.031 8.464
-1.786 1.031 8.464
0.000 -2.063 8.464
As Ir
3 2
Direct
0.000 0.000 0.000
0.216 0.216 0.216
0.784 0.784 0.784
0.401 0.401 0.401
0.599 0.599 0.599


As2Ir3 PBE optimized geometry; magnetic moment = 0.000 μB per atom; distance to the lowest polymorph of the same formula = 0.0 meV/atom
1.0
4.151 0.000 0.000
-2.076 3.595 0.000
0.000 0.000 5.437
As Ir
2 3
Direct
0.333 0.667 0.283
0.667 0.333 0.717
0.000 0.000 0.500
0.333 0.667 0.828
0.667 0.333 0.172


AsIr5 PBE optimized geometry; magnetic moment = 0.000 μB per atom
1.0
4.998 -1.395 0.000
4.998 1.395 0.000
-2.031 0.000 6.452
As Ir
1 5
Direct
0.000 0.000 0.000
0.048 0.048 0.637
0.324 0.324 0.689
0.363 0.363 0.323
0.631 0.631 0.329
0.738 0.738 0.983


AsIr PBE optimized geometry; magnetic moment = 0.000 μB per atom
1.0
1.463 0.844 9.932
-1.463 0.844 9.932
0.000 -1.689 9.932
As Ir
2 2
Direct
0.102 0.102 0.102
0.898 0.898 0.898
0.372 0.372 0.372
0.628 0.628 0.628


As5Ir PBE optimized geometry; magnetic moment = 0.000 μB per atom; distance to the lowest polymorph of the same formula = 784.1 meV/atom
1.0
4.861 0.000 0.000
-2.430 4.210 0.000
0.000 0.000 6.254
As Ir
5 1
Direct
0.000 0.500 0.000
0.333 0.667 0.500
0.500 0.000 0.000
0.500 0.500 0.000
0.667 0.333 0.500
0.000 0.000 0.500


AsIr5 PBE optimized geometry; magnetic moment = 0.000 μB per atom
1.0
2.803 0.000 0.000
0.000 2.803 0.000
0.000 0.000 11.309
As Ir
1 5
Direct
0.000 0.000 0.000
0.000 0.000 0.334
0.000 0.000 0.666
0.500 0.500 0.163
0.500 0.500 0.500
0.500 0.500 0.837


AsIr PBE optimized geometry; magnetic moment = 0.000 μB per atom
1.0
1.424 -2.489 0.000
1.424 2.489 0.000
0.000 0.000 4.486
As Ir
1 1
Direct
0.000 0.000 0.000
0.500 0.500 0.500


As3Ir PBE optimized geometry; magnetic moment = 0.000 μB per atom; distance to the lowest polymorph of the same formula = 555.8 meV/atom
1.0
1.825 1.054 6.371
-1.825 1.054 6.371
0.000 -2.107 6.371
As Ir
3 1
Direct
0.000 0.000 0.000
0.242 0.242 0.242
0.758 0.758 0.758
0.500 0.500 0.500


AsIr PBE optimized geometry; magnetic moment = 0.000 μB per atom
1.0
-1.891 1.891 4.360
1.891 -1.891 4.360
1.891 1.891 -4.360
As Ir
2 2
Direct
0.375 0.625 0.750
0.625 0.375 0.250
0.125 0.875 0.250
0.875 0.125 0.750


AsIr PBE optimized geometry; magnetic moment = 0.000 μB per atom
1.0
-5.010 5.010 1.926
5.010 -5.010 1.926
5.010 5.010 -1.926
As Ir
4 4
Direct
0.083 0.301 0.383
0.301 0.917 0.218
0.699 0.083 0.782
0.917 0.699 0.617
0.153 0.717 0.870
0.283 0.153 0.437
0.717 0.847 0.563
0.847 0.283 0.130


AsIr PBE optimized geometry; magnetic moment = 0.000 μB per atom
1.0
1.528 -4.396 0.000
1.528 4.396 0.000
0.000 0.000 4.964
As Ir
2 2
Direct
0.184 0.816 0.750
0.816 0.184 0.250
0.097 0.903 0.250
0.903 0.097 0.750


As3Ir PBE optimized geometry; magnetic moment = 0.000 μB per atom; distance to the lowest polymorph of the same formula = 839.7 meV/atom
1.0
2.896 -3.684 0.000
2.896 3.684 0.000
0.000 0.000 3.209
As Ir
3 1
Direct
0.000 0.000 0.000
0.000 0.500 0.500
0.500 0.000 0.500
0.500 0.500 0.000


AsIr PBE optimized geometry; magnetic moment = 0.000 μB per atom
1.0
1.702 -5.209 0.000
1.702 5.209 0.000
0.000 0.000 3.676
As Ir
2 2
Direct
0.157 0.843 0.750
0.843 0.157 0.250
0.400 0.600 0.750
0.600 0.400 0.250


AsIr7 PBE optimized geometry; magnetic moment = 0.000 μB per atom
1.0
0.000 3.888 3.888
3.888 0.000 3.888
3.888 3.888 0.000
As Ir
1 7
Direct
0.000 0.000 0.000
0.000 0.000 0.500
0.000 0.500 0.000
0.000 0.500 0.500
0.500 0.000 0.000
0.500 0.000 0.500
0.500 0.500 0.000
0.500 0.500 0.500


The DFT total energy results, record by record, are as follows: -64.49 -26.13 -64.64 -24.00 -46.34 -20.97 -40.51 -20.11 -19.66 -37.42 -18.57 -26.42 -26.50 -19.38 -31.57 -35.24 -47.94 -26.69 -27.32 -47.93 -12.72 -22.30 -25.77 -54.03 -27.42 -21.16 -26.93 -66.21 eV for the cell shown.